LaCdGaPd | PBE | relaxed

DFT formation energy = -540 meV per atom
Energy = -16.2 eV/f.u.

a b c (Å): 7.0618 7.0618 7.0618
angles (deg): 90.00 90.00 90.00
Last column: nearest neighbours and their distance in Å.
Fractional coordinates of all 16 atoms:
La  0.0000  0.0000  0.0000  4 Ga 3.06, 4 Pd 3.06
La  0.0000  0.5000  0.5000  4 Ga 3.06, 4 Pd 3.06
La  0.5000  0.0000  0.5000  4 Ga 3.06, 4 Pd 3.06
La  0.5000  0.5000  0.0000  4 Ga 3.06, 4 Pd 3.06
Cd  0.0000  0.0000  0.5000  4 Pd 3.06, 4 Ga 3.06
Cd  0.0000  0.5000  0.0000  4 Pd 3.06, 4 Ga 3.06
Cd  0.5000  0.0000  0.0000  4 Pd 3.06, 4 Ga 3.06
Cd  0.5000  0.5000  0.5000  4 Pd 3.06, 4 Ga 3.06
Ga  0.2500  0.2500  0.2500  4 Cd 3.06, 4 La 3.06
Ga  0.2500  0.7500  0.7500  4 Cd 3.06, 4 La 3.06
Ga  0.7500  0.2500  0.7500  4 Cd 3.06, 4 La 3.06
Ga  0.7500  0.7500  0.2500  4 Cd 3.06, 4 La 3.06
Pd  0.2500  0.2500  0.7500  4 Cd 3.06, 4 La 3.06
Pd  0.2500  0.7500  0.2500  4 Cd 3.06, 4 La 3.06
Pd  0.7500  0.2500  0.2500  4 Cd 3.06, 4 La 3.06
Pd  0.7500  0.7500  0.7500  4 La 3.06, 4 Cd 3.06

Al2RuCl | PBE | relaxed

ΔE_f (raw) = 0.22 eV per atom
Energy = -17.7 eV/f.u.
Energy above the lowest structure with this stoichiometry = 0.8359 eV per atom

a b c (Å): 3.9870 3.9870 7.7854
angles (deg): 90.00 90.00 90.00
Last column: nearest neighbours and their distance in Å.
Fractional coordinates of all 8 atoms:
Al  0.0000  0.5000  0.2500  4 Cl 2.79, 4 Ru 2.79, 4 Al 2.82
Al  0.0000  0.5000  0.7500  4 Cl 2.79, 4 Ru 2.79, 4 Al 2.82
Al  0.5000  0.0000  0.2500  4 Cl 2.79, 4 Ru 2.79, 4 Al 2.82
Al  0.5000  0.0000  0.7500  4 Cl 2.79, 4 Ru 2.79, 4 Al 2.82
Ru  0.0000  0.0000  0.0000  8 Al 2.79, 4 Cl 2.82
Ru  0.5000  0.5000  0.5000  8 Al 2.79, 4 Cl 2.82
Cl  0.0000  0.0000  0.5000  8 Al 2.79, 4 Ru 2.82
Cl  0.5000  0.5000  0.0000  8 Al 2.79, 4 Ru 2.82

HfB | PBE | relaxed

DFT formation energy = -417 meV per atom
Energy = -17.5 eV/f.u.

a b c (Å): 6.2449 5.7103 4.8091
angles (deg): 72.26 60.56 47.18
Last column: nearest neighbours and their distance in Å.
Fractional coordinates of all 8 atoms:
Hf  0.0809  0.6691  0.0809  6 B 2.42-2.57
Hf  0.3309  0.9191  0.3309  6 B 2.42-2.57
Hf  0.6691  0.0809  0.6691  6 B 2.42-2.57
Hf  0.9191  0.3309  0.9191  6 B 2.42-2.57
B  0.2242  0.5258  0.5258  1 B 1.75
B  0.4742  0.7758  0.7758  1 B 1.75
B  0.5258  0.2242  0.2242  1 B 1.75
B  0.7758  0.4742  0.4742  1 B 1.75

Sr4PmMg5 | PBE | relaxed

DFT formation energy = -56 meV per atom
Energy = -20.0 eV/f.u.

a b c (Å): 4.0798 4.0798 20.9227
angles (deg): 90.00 90.00 90.00
Last column: nearest neighbours and their distance in Å.
Fractional coordinates of all 10 atoms:
Sr  0.0000  0.0000  0.1037  8 Mg 3.60-3.61
Sr  0.0000  0.0000  0.3103  8 Mg 3.61-3.64, 1 Pm 3.97
Sr  0.0000  0.0000  0.6897  8 Mg 3.61-3.64, 1 Pm 3.97
Sr  0.0000  0.0000  0.8963  8 Mg 3.60-3.61
Pm  0.0000  0.0000  0.5000  8 Mg 3.38
Mg  0.5000  0.5000  0.0000  8 Sr 3.61
Mg  0.5000  0.5000  0.2066  8 Sr 3.60-3.61
Mg  0.5000  0.5000  0.4160  4 Pm 3.38, 1 Mg 3.51, 4 Sr 3.64
Mg  0.5000  0.5000  0.5840  4 Pm 3.38, 1 Mg 3.51, 4 Sr 3.64
Mg  0.5000  0.5000  0.7934  8 Sr 3.60-3.61

CsGe2Cl2 | PBE | relaxed

ΔE_f (raw) = -0.69 eV per atom
Energy = -17.2 eV/f.u.
Energy above the lowest structure with this stoichiometry = 0.0000 eV per atom

a b c (Å): 3.9372 3.9372 18.1932
angles (deg): 90.00 90.00 90.00
Last column: nearest neighbours and their distance in Å.
Fractional coordinates of all 10 atoms:
Cs  0.0000  0.0000  0.0000  8 Cl 3.48
Cs  0.5000  0.5000  0.5000  8 Cl 3.48
Ge  0.0000  0.5000  0.2500  4 Ge 2.78
Ge  0.0000  0.5000  0.7500  4 Ge 2.78
Ge  0.5000  0.0000  0.2500  4 Ge 2.78
Ge  0.5000  0.0000  0.7500  4 Ge 2.78
Cl  0.0000  0.0000  0.3849  4 Ge 3.15, 4 Cs 3.48
Cl  0.0000  0.0000  0.6151  4 Ge 3.15, 4 Cs 3.48
Cl  0.5000  0.5000  0.1151  4 Ge 3.15, 4 Cs 3.48
Cl  0.5000  0.5000  0.8849  4 Ge 3.15, 4 Cs 3.48

TbSmDy2Tm2 | PBE | relaxed

DFT formation energy = 111 meV per atom
Energy = -26.8 eV/f.u.

a b c (Å): 6.0587 18.0624 3.5043
angles (deg): 90.00 90.00 90.00
Last column: nearest neighbours and their distance in Å.
Fractional coordinates of all 12 atoms:
Tb  0.0000  0.0000  0.0000  2 Tm 3.49, 4 Dy 3.49, 4 Sm 3.50, 2 Tb 3.50
Tb  0.5000  0.5000  0.5000  2 Tm 3.49, 4 Dy 3.49, 4 Sm 3.50, 2 Tb 3.50
Sm  0.0000  0.5000  0.0000  2 Dy 3.49, 4 Tm 3.49, 4 Tb 3.50, 2 Sm 3.50
Sm  0.5000  0.0000  0.5000  2 Dy 3.49, 4 Tm 3.49, 4 Tb 3.50, 2 Sm 3.50
Dy  0.1669  0.1577  0.5000  5 Tm 3.33-3.50, 1 Sm 3.49, 2 Tb 3.49, 2 Dy 3.50
Dy  0.3331  0.6577  0.0000  5 Tm 3.33-3.50, 1 Sm 3.49, 2 Tb 3.49, 2 Dy 3.50
Dy  0.6669  0.3423  0.0000  5 Tm 3.33-3.50, 1 Sm 3.49, 2 Tb 3.49, 2 Dy 3.50
Dy  0.8331  0.8423  0.5000  5 Tm 3.33-3.50, 1 Sm 3.49, 2 Tb 3.49, 2 Dy 3.50
Tm  0.1669  0.3423  0.5000  5 Dy 3.33-3.50, 1 Tb 3.49, 2 Sm 3.49, 2 Tm 3.50
Tm  0.3331  0.8423  0.0000  5 Dy 3.33-3.50, 1 Tb 3.49, 2 Sm 3.49, 2 Tm 3.50
Tm  0.6669  0.1577  0.0000  5 Dy 3.33-3.50, 1 Tb 3.49, 2 Sm 3.49, 2 Tm 3.50
Tm  0.8331  0.6577  0.5000  5 Dy 3.33-3.50, 1 Tb 3.49, 2 Sm 3.49, 2 Tm 3.50

Nd7Y2 | PBE | relaxed

DFT formation energy = 37 meV per atom
Energy = -46.0 eV/f.u.
Energy above the lowest structure with this stoichiometry = 0.0246 eV per atom

a b c (Å): 10.0262 10.0262 3.5836
angles (deg): 90.00 90.00 120.00
Last column: nearest neighbours and their distance in Å.
Fractional coordinates of all 9 atoms:
Nd  0.0000  0.0000  0.0000  11 Nd 3.57-3.62
Nd  0.0000  0.3079  0.5000  2 Y 3.48, 10 Nd 3.57-3.83
Nd  0.0000  0.6392  0.0000  9 Nd 3.58-3.83, 4 Y 3.68
Nd  0.3079  0.0000  0.5000  2 Y 3.48, 10 Nd 3.57-3.83
Nd  0.3608  0.3608  0.0000  9 Nd 3.58-3.83, 4 Y 3.68
Nd  0.6392  0.0000  0.0000  9 Nd 3.58-3.83, 4 Y 3.68
Nd  0.6921  0.6921  0.5000  2 Y 3.48, 10 Nd 3.57-3.83
Y  0.3333  0.6667  0.5000  9 Nd 3.48-3.68, 2 Y 3.58
Y  0.6667  0.3333  0.5000  9 Nd 3.48-3.68, 2 Y 3.58

Pu2NbIr | PBE | relaxed

DFT formation energy = 328 meV per atom
Energy = -46.3 eV/f.u.
Energy above the lowest structure with this stoichiometry = 0.2854 eV per atom

a b c (Å): 2.8792 2.8792 33.0206
angles (deg): 90.00 90.00 120.00
Last column: nearest neighbours and their distance in Å.
Fractional coordinates of all 12 atoms:
Pu  0.0000  0.0000  0.0906  6 Pu 2.88, 1 Nb 2.99, 3 Ir 3.01
Pu  0.0000  0.0000  0.9094  6 Pu 2.88, 1 Nb 2.99, 3 Ir 3.01
Pu  0.3333  0.6667  0.5760  6 Pu 2.88, 1 Nb 2.99, 3 Ir 3.01
Pu  0.3333  0.6667  0.7573  6 Pu 2.88, 1 Nb 2.99, 3 Ir 3.01
Pu  0.6667  0.3333  0.2427  6 Pu 2.88, 1 Nb 2.99, 3 Ir 3.01
Pu  0.6667  0.3333  0.4240  6 Pu 2.88, 1 Nb 2.99, 3 Ir 3.01
Nb  0.0000  0.0000  0.0000  6 Nb 2.88, 2 Pu 2.99
Nb  0.3333  0.6667  0.6667  6 Nb 2.88, 2 Pu 2.99
Nb  0.6667  0.3333  0.3333  6 Nb 2.88, 2 Pu 2.99
Ir  0.0000  0.0000  0.5000  6 Ir 2.88, 6 Pu 3.01
Ir  0.3333  0.6667  0.1667  6 Ir 2.88, 6 Pu 3.01
Ir  0.6667  0.3333  0.8333  6 Ir 2.88, 6 Pu 3.01

LiScFe2 | PBE | relaxed

DFT formation energy = 118 meV per atom
Energy = -24.7 eV/f.u.

a b c (Å): 4.0164 4.0164 12.1966
angles (deg): 90.00 90.00 120.00
Last column: nearest neighbours and their distance in Å.
Fractional coordinates of all 12 atoms:
Li  0.0000  0.0000  0.0000  6 Fe 2.54-2.72, 4 Sc 2.66-2.77
Li  0.3333  0.6667  0.6667  6 Fe 2.54-2.72, 4 Sc 2.66-2.77
Li  0.6667  0.3333  0.3333  6 Fe 2.54-2.72, 4 Sc 2.66-2.77
Sc  0.0000  0.0000  0.2272  4 Li 2.66-2.77, 7 Fe 2.68-2.89
Sc  0.3333  0.6667  0.8938  4 Li 2.66-2.77, 7 Fe 2.68-2.89
Sc  0.6667  0.3333  0.5605  4 Li 2.66-2.77, 7 Fe 2.68-2.89
Fe  0.0000  0.0000  0.4501  3 Fe 2.35
Fe  0.0000  0.0000  0.7526  3 Fe 2.35, 3 Li 2.54
Fe  0.3333  0.6667  0.1168  3 Fe 2.35
Fe  0.3333  0.6667  0.4193  3 Fe 2.35, 3 Li 2.54
Fe  0.6667  0.3333  0.0860  3 Fe 2.35, 3 Li 2.54
Fe  0.6667  0.3333  0.7834  3 Fe 2.35

ZrSc2CdB | PBE | relaxed

DFT formation energy = -229 meV per atom
Energy = -29.9 eV/f.u.

a b c (Å): 4.7008 4.7008 4.6328
angles (deg): 90.00 90.00 90.00
Last column: nearest neighbours and their distance in Å.
Fractional coordinates of all 5 atoms:
Zr  0.0000  0.0000  0.0000  2 B 2.32
Sc  0.0000  0.5000  0.5000  2 B 2.35
Sc  0.5000  0.0000  0.5000  2 B 2.35
Cd  0.5000  0.5000  0.0000  8 Sc 3.30, 4 Zr 3.32
B  0.0000  0.0000  0.5000  2 Zr 2.32, 4 Sc 2.35